Computed, not measured: crystalline PmGe3Pt at its relaxed geometry at the GGA-PBE level of DFT.

Unit cell a=5.7103 b=5.8979 c=6.1712 alpha=90.00 beta=90.02 gamma=90.00
Space group P2_1 (No. 4)
One atom of each set of equivalent atoms:
Pm 0.1389 0.0000 0.2505 x2
Ge 0.0838 0.0516 0.7506 x2
Ge 0.3087 0.4492 0.0147 x2
Ge 0.3088 0.4496 0.4850 x2
Pt 0.3884 0.7574 0.7500 x2

Calculated values
Magnetic moment = 0.00 μB per formula unit
E_tot = -5.5642 eV/atom
Offset from the most stable computed form = 0.022 eV per atom
Fermi-level density of states = 1.73 states/eV/f.u.